[1]
A relaxed ZnIn2Ir crystal. Source: Alexandria, functional PBE-GGA.

abc: 3.232 3.939 5.724
angles: 90.00 90.00 90.00
Space group Pmmm (No. 47)
One atom of each set of equivalent atoms:
Zn: 0.000 0.000 0.000 [1 per cell]
In: 0.500 0.500 0.255 [2 per cell]
Ir: 0.000 0.000 0.500 [1 per cell]

Output
E_form = 0.03 eV per atom

---

[2]
A relaxed MnAsAu2 crystal. Source: Alexandria, functional PBE-GGA.

abc: 5.536 7.944 3.237
angles: 90.00 90.00 90.00
Space group Cmmm (No. 65)
One atom of each set of equivalent atoms:
Mn: 0.000 0.000 0.000 [2 per cell]
As: 0.000 0.500 0.000 [2 per cell]
Au: 0.250 0.250 0.500 [4 per cell]

Output
E_form = 0.14 eV per atom

---

[3]
A relaxed Rb2LiAg2Br6 crystal. Source: Alexandria, functional PBE-GGA.

abc: 14.776 7.246 8.012
angles: 90.00 119.37 90.00
Space group C2/m (No. 12)
One atom of each set of equivalent atoms:
Rb: 0.239 0.000 0.212 [4 per cell]
Li: 0.000 0.000 0.500 [2 per cell]
Ag: 0.068 0.500 0.222 [4 per cell]
Br: 0.053 0.234 0.794 [8 per cell]
Br: 0.236 0.000 0.647 [4 per cell]

Output
E_form (uncorrected) = -1045 kJ/mol of formula units

---

[4]
A relaxed ScIBr3 crystal. Source: Alexandria, functional PBE-GGA.

abc: 4.8764 4.8764 20.7869
angles: 90.00 90.00 120.00
Space group P6_3/mmc (No. 194)
One atom of each set of equivalent atoms:
Sc: 0.0000 0.0000 0.0000 [2 per cell]
I: 0.3333 0.6667 0.2500 [2 per cell]
Br: 0.0000 0.0000 0.2500 [2 per cell]
Br: 0.3333 0.6667 0.0512 [4 per cell]

Output
E_form (uncorrected) = -244 kJ/mol of formula units

---

[5]
A relaxed Th2GaSiPt6 crystal. Source: Alexandria, functional PBE-GGA.

abc: 5.532 8.582 8.432
angles: 90.00 90.00 90.00
Space group Pmmn (No. 59, origin choice 2)
One atom of each set of equivalent atoms:
Th: 0.250 0.002 0.233 [4 per cell]
Ga: 0.250 0.750 0.774 [2 per cell]
Si: 0.250 0.250 0.748 [2 per cell]
Pt: 0.000 0.250 0.494 [4 per cell]
Pt: 0.001 0.250 0.979 [4 per cell]
Pt: 0.250 0.001 0.614 [4 per cell]

Output
E_form (uncorrected) = -949 kJ/mol of formula units

---

[6]
A relaxed CaLa2Zn crystal. Source: Alexandria, functional PBE-GGA.

abc: 3.645 5.553 12.481
angles: 90.00 90.00 90.00
Space group Immm (No. 71)
One atom of each set of equivalent atoms:
Ca: 0.000 0.000 0.000 [2 per cell]
La: 0.000 0.500 0.208 [4 per cell]
Zn: 0.000 0.000 0.500 [2 per cell]

Output
E_form = -0.11 eV per atom

---

[7]
A relaxed K2PtPb crystal. Source: Alexandria, functional PBE-GGA.

abc: 10.966 6.776 4.480
angles: 90.00 114.01 90.00
Space group C2 (No. 5)
One atom of each set of equivalent atoms:
K: 0.190 0.000 0.190 [4 per cell]
Pt: 0.000 0.285 0.500 [2 per cell]
Pb: 0.000 0.499 0.000 [2 per cell]

Output
E_form = -0.14 eV per atom

---

[8]
A relaxed CeMg3 crystal. Source: Alexandria, functional PBE-GGA.

abc: 3.1492 3.1492 11.1450
angles: 90.00 90.00 120.00
Space group P-6m2 (No. 187)
One atom of each set of equivalent atoms:
Ce: 0.0000 0.0000 0.0000 [1 per cell]
Mg: 0.0000 0.0000 0.5000 [1 per cell]
Mg: 0.6667 0.3333 0.2635 [2 per cell]

Output
E_form = -0.01 eV per atom

---

[9]
A relaxed Al2Au5 crystal. Source: Alexandria, functional PBE-GGA.

abc: 12.392 6.942 5.736
angles: 90.00 91.14 90.00
Space group C2/c (No. 15)
One atom of each set of equivalent atoms:
Al: 0.125 0.229 0.018 [8 per cell]
Au: 0.000 0.463 0.250 [4 per cell]
Au: 0.083 0.149 0.560 [8 per cell]
Au: 0.230 0.453 0.723 [8 per cell]

Output
E_form = -0.26 eV per atom

---

[10]
A relaxed CoNi2MoH crystal. Source: Alexandria, functional PBE-GGA.

abc: 3.589 3.589 3.754
angles: 90.00 90.00 90.00
Space group P4/mmm (No. 123)
One atom of each set of equivalent atoms:
Co: 0.000 0.000 0.000 [1 per cell]
Ni: 0.000 0.500 0.500 [2 per cell]
Mo: 0.500 0.500 0.000 [1 per cell]
H: 0.000 0.000 0.500 [1 per cell]

Output
Calculated total energy = -32.23 eV/cell

---

[11]
A relaxed Ba4Ce3NpN8 crystal. Source: Alexandria, functional PBE-GGA.

abc: 7.3138 7.3138 19.1638
angles: 90.00 90.00 120.00
Space group R-3m (No. 166, hexagonal axes)
One atom of each set of equivalent atoms:
Ba: 0.0000 0.0000 0.0000 [3 per cell]
Ba: 0.0000 0.5000 0.0000 [9 per cell]
Ce: 0.0000 0.5000 0.5000 [9 per cell]
Np: 0.0000 0.0000 0.5000 [3 per cell]
N: 0.0000 0.0000 0.2252 [6 per cell]
N: 0.0285 0.5142 0.2254 [18 per cell]

Output
E_form (uncorrected) = -1568 kJ/mol of formula units

---

[12]
A relaxed Er2MgCd crystal. Source: Alexandria, functional PBE-GGA.

abc: 7.464 7.464 7.464
angles: 90.00 90.00 90.00
Space group Fm-3m (No. 225)
One atom of each set of equivalent atoms:
Er: 0.250 0.250 0.250 [8 per cell]
Mg: 0.000 0.000 0.000 [4 per cell]
Cd: 0.000 0.000 0.500 [4 per cell]

Output
E_form = -0.19 eV per atom

---

| no. | mass density (g/cm3) |
| --- | --- |
| 1 | 11.1 |
| 2 | 12.2 |
| 3 | 3.9 |
| 4 | 3.2 |
| 5 | 14.4 |
| 6 | 5.0 |
| 7 | 5.2 |
| 8 | 3.7 |
| 9 | 14.0 |
| 10 | 9.4 |
| 11 | 7.4 |
| 12 | 7.5 |